{
  "formula": "LiCa2Tc",
  "functional": "PBE-GGA",
  "state": "optimized geometry",
  "lattice_angstrom": [[6.2546, -0.0020, -0.0027], [3.1610, 5.3971, 0.0027], [-4.0862, -3.7823, 2.8491]],
  "species": ["Ca", "Ca", "Li", "Tc"],
  "frac_coords": [[0.0321, 0.0321, 0.0000], [0.7393, 0.2393, 0.5000], [0.4590, 0.4590, 0.0000], [0.2697, 0.7697, 0.5000]],
  "volume_a3_per_atom": 24.058,
  "formation_energy_kj_per_mol_atoms": 47.1
}